The following is a DFT calculation (GGA-PBE) of a relaxed Y2ScPtO crystal. Values from VASP.

Quantum ESPRESSO input file:
```
&SYSTEM
  ibrav = 0, nat = 5, ntyp = 4
/
ATOMIC_SPECIES
Y 88.91 Y.upf
Sc 44.96 Sc.upf
Pt 195.08 Pt.upf
O 16.00 O.upf
ATOMIC_POSITIONS angstrom
Y 0.000 2.386 0.000
Y 2.386 0.000 0.000
Sc 0.000 0.000 2.106
Pt 2.386 2.386 2.106
O 0.000 0.000 0.000
CELL_PARAMETERS angstrom
4.772 0.000 0.000
0.000 4.772 0.000
0.000 0.000 4.212
```

Output
The uncorrected formation energy is -1.635 eV per atom. The density of states at the Fermi level is 2.3 states/eV per cell.